1.
PBE-GGA Fe3Cu, relaxed; spin magnetization = 7.51 μB/f.u.; calculated formation energy = 0.116 eV/atom
1.0
-0.628 2.205 0.875
-3.752 -0.495 -1.446
-1.541 -1.216 4.414
Cu Fe
1 3
Direct
0.000 0.000 0.000 Cu
0.737 0.500 0.742 Fe
0.500 0.000 0.500 Fe
0.263 0.500 0.258 Fe

2.
PBE-GGA FeCu4, relaxed; spin magnetization = 3.12 μB/f.u.; calculated formation energy = 0.416 eV/atom
1.0
4.111 -4.858 1.086
5.241 -1.053 3.620
-6.044 2.192 -0.595
Fe Cu
1 4
Direct
0.000 0.000 0.000 Fe
0.250 0.750 0.500 Cu
0.598 0.598 0.000 Cu
0.402 0.402 0.000 Cu
0.750 0.250 0.500 Cu

3.
PBE-GGA FeCu, relaxed; spin magnetization = 2.83 μB/f.u.; calculated formation energy = 0.504 eV/atom
1.0
-0.184 2.172 1.014
-8.901 -4.898 8.872
9.763 -2.976 8.151
Fe Cu
16 16
Direct
0.000 0.000 0.335 Fe
0.000 0.000 0.665 Fe
0.250 0.750 0.915 Fe
0.250 0.750 0.585 Fe
0.000 0.500 0.835 Fe
0.000 0.500 0.165 Fe
0.250 0.250 0.415 Fe
0.250 0.250 0.085 Fe
0.500 0.000 0.835 Fe
0.500 0.000 0.165 Fe
0.750 0.750 0.415 Fe
0.750 0.750 0.085 Fe
0.500 0.500 0.335 Fe
0.500 0.500 0.665 Fe
0.750 0.250 0.915 Fe
0.750 0.250 0.585 Fe
0.000 0.592 0.000 Cu
0.000 0.408 0.000 Cu
0.250 0.158 0.250 Cu
0.250 0.342 0.250 Cu
0.000 0.092 0.500 Cu
0.000 0.908 0.500 Cu
0.250 0.658 0.750 Cu
0.250 0.842 0.750 Cu
0.500 0.592 0.500 Cu
0.500 0.408 0.500 Cu
0.750 0.158 0.750 Cu
0.750 0.342 0.750 Cu
0.500 0.092 0.000 Cu
0.500 0.908 0.000 Cu
0.750 0.658 0.250 Cu
0.750 0.842 0.250 Cu

4.
PBE-GGA FeCu4, relaxed; spin magnetization = 2.48 μB/f.u.; calculated formation energy = 0.081 eV/atom
1.0
-8.648 -3.628 -4.891
-8.590 -5.380 -3.023
-9.754 -3.131 -2.634
Fe Cu
1 4
Direct
0.000 0.000 0.000 Fe
0.400 0.400 0.400 Cu
0.800 0.800 0.800 Cu
0.200 0.200 0.200 Cu
0.600 0.600 0.600 Cu

5.
PBE-GGA FeCu, relaxed; spin magnetization = 2.42 μB/f.u.; calculated formation energy = 0.178 eV/atom
1.0
-3.015 2.644 -1.251
-1.363 -2.936 -2.921
-3.203 -1.997 3.501
Fe Cu
4 4
Direct
0.250 0.083 0.625 Fe
0.750 0.417 0.125 Fe
0.250 0.583 0.875 Fe
0.750 0.917 0.375 Fe
0.250 0.076 0.125 Cu
0.750 0.424 0.625 Cu
0.250 0.576 0.375 Cu
0.750 0.924 0.875 Cu

6.
PBE-GGA FeCu, relaxed; spin magnetization = 2.58 μB/f.u.; calculated formation energy = 0.146 eV/atom
1.0
-0.107 2.345 0.938
-1.162 -1.896 1.201
3.571 -0.748 2.275
Cu Fe
1 1
Direct
0.000 0.000 0.000 Cu
0.333 0.667 0.500 Fe

7.
PBE-GGA Fe2Cu, relaxed; spin magnetization = 3.28 μB/f.u.; calculated formation energy = 0.286 eV/atom
1.0
4.656 0.000 0.000
2.328 4.032 0.000
0.000 0.000 7.517
Fe Cu
8 4
Direct
0.000 0.000 0.000 Fe
0.000 0.000 0.500 Fe
0.829 0.343 0.750 Fe
0.343 0.829 0.750 Fe
0.171 0.171 0.250 Fe
0.829 0.829 0.750 Fe
0.657 0.171 0.250 Fe
0.171 0.657 0.250 Fe
0.667 0.667 0.067 Cu
0.667 0.667 0.433 Cu
0.333 0.333 0.567 Cu
0.333 0.333 0.933 Cu

8.
PBE-GGA Fe2Cu, relaxed; spin magnetization = 5.19 μB/f.u.; calculated formation energy = 0.213 eV/atom
1.0
-0.119 3.838 -1.458
-0.030 -3.184 -2.594
-4.919 -0.090 0.167
Fe Cu
4 2
Direct
0.000 0.000 0.000 Fe
0.000 0.000 0.500 Fe
0.333 0.667 0.750 Fe
0.667 0.333 0.250 Fe
0.333 0.667 0.250 Cu
0.667 0.333 0.750 Cu